First-principles (PBE-GGA) data for a relaxed Si2MoPd2 crystal, as listed in Alexandria.

E_form (uncorrected) ... -321 meV/atom
Crystal system ... tetragonal
Electronic total energy ... -33.7 eV per formula unit

abc: 7.1104 7.1104 2.8328
angles: 90.00 90.00 90.00
Closest atoms and distances in Å follow each position.
Space group P4/mbm (No. 127)
Unique sites:
Si 0.1550 0.3450 0.0000 x4  6 Pd 2.48-2.55, 2 Mo 2.69
Mo 0.0000 0.0000 0.0000 x2  4 Si 2.69, 2 Mo 2.83
Pd 0.1428 0.6428 0.5000 x4  6 Si 2.48-2.55

***

First-principles (PBE-GGA) data for a relaxed Cu5PbS4 crystal, as listed in Alexandria.

E_form (uncorrected) ... -121 meV/atom
Crystal system ... orthorhombic
Electronic total energy ... -41.9 eV per formula unit

abc: 3.7341 7.2104 12.7718
angles: 90.00 90.00 90.00
Closest atoms and distances in Å follow each position.
Space group Immm (No. 71)
Unique sites:
Cu 0.0000 0.0000 0.0000 x2  4 S 2.36
Cu 0.0000 0.1965 0.3199 x8  4 S 2.42-2.45, 2 Cu 2.70
Pb 0.0000 0.5000 0.0000 x2  6 S 2.85-3.00
S 0.0000 0.2990 0.5000 x4  4 Cu 2.36-2.42
S 0.0000 0.5000 0.2346 x4  6 Cu 2.44-2.45

***

First-principles (PBE-GGA) data for a relaxed Pr3Zn4Ag4 crystal, as listed in Alexandria.

ΔH_f (0 K) ... -25 kJ per mole of atoms
Crystal system ... orthorhombic
Polymorph energy (0 for the lowest one) ... 3 meV/atom
Electronic total energy ... -33.7 eV per formula unit

abc: 4.3625 7.6136 14.6066
angles: 90.00 90.00 90.00
Closest atoms and distances in Å follow each position.
Space group Immm (No. 71)
Unique sites:
Pr 0.0000 0.0000 0.0000 x2  6 Zn 3.23-3.27
Pr 0.0000 0.5000 0.1257 x4  6 Zn 3.13-3.16, 6 Ag 3.27-3.31
Zn 0.0000 0.0000 0.2208 x4  6 Ag 2.72-2.83
Zn 0.0000 0.1794 0.5000 x4  2 Ag 2.68, 1 Zn 2.73
Ag 0.0000 0.3084 0.3291 x8  4 Zn 2.68-2.83, 1 Ag 2.92

***

First-principles (PBE-GGA) data for a relaxed KTcAuO2 crystal, as listed in Alexandria.

E_form (uncorrected) ... -292 meV/atom
Crystal system ... tetragonal
Electronic total energy ... -26.1 eV per formula unit

abc: 3.9040 3.9040 8.1129
angles: 90.00 90.00 90.00
Closest atoms and distances in Å follow each position.
Space group P4/mmm (No. 123)
Unique sites:
K 0.0000 0.0000 0.0000 x1  4 Au 2.76
Tc 0.0000 0.0000 0.5000 x1  4 O 1.95
Au 0.5000 0.5000 0.0000 x1  4 K 2.76
O 0.0000 0.5000 0.5000 x2  2 Tc 1.95

***

First-principles (PBE-GGA) data for a relaxed Ho4AlZn2Cu crystal, as listed in Alexandria.

ΔH_f (0 K) ... -32 kJ per mole of atoms
Crystal system ... trigonal
Electronic total energy ... -31.4 eV per formula unit

abc: 5.0049 5.0049 24.5264
angles: 90.00 90.00 120.00
Closest atoms and distances in Å follow each position.
Space group R-3m (No. 166, hexagonal axes)
Unique sites:
Ho 0.0000 0.0000 0.1219 x6  1 Cu 2.99, 4 Zn 3.01-3.05, 3 Al 3.09
Ho 0.0000 0.0000 0.3723 x6  3 Cu 3.04, 4 Zn 3.09-3.12, 1 Al 3.13
Al 0.0000 0.0000 0.5000 x3  8 Ho 3.09-3.13
Zn 0.0000 0.0000 0.2464 x6  8 Ho 3.01-3.12
Cu 0.0000 0.0000 0.0000 x3  8 Ho 2.99-3.04

***

First-principles (PBE-GGA) data for a relaxed Sr4TmTh3As8 crystal, as listed in Alexandria.

ΔH_f (0 K) ... -126 kJ per mole of atoms
Crystal system ... trigonal
Electronic total energy ... -91.6 eV per formula unit

abc: 8.6649 8.6649 21.6073
angles: 90.00 90.00 120.00
Closest atoms and distances in Å follow each position.
Space group R-3m (No. 166, hexagonal axes)
Unique sites:
Sr 0.0000 0.0000 0.0000 x3  6 As 3.21
Sr 0.0000 0.5000 0.0000 x9  6 As 3.18
Tm 0.0000 0.0000 0.5000 x3  6 As 2.96
Th 0.0000 0.5000 0.5000 x9  6 As 2.99
As 0.0000 0.0000 0.2426 x6  3 Th 2.99, 3 Sr 3.18
As 0.0040 0.5020 0.2417 x18  1 Tm 2.96, 2 Th 2.99, 3 Sr 3.18-3.21

***

First-principles (PBE-GGA) data for a relaxed CsSnHg6 crystal, as listed in Alexandria.

ΔH_f (0 K) ... -11 kJ per mole of atoms
Crystal system ... triclinic
Electronic total energy ... -7.6 eV per formula unit

abc: 5.1948 7.1428 8.1670
angles: 115.86 108.16 90.18
Closest atoms and distances in Å follow each position.
Space group P-1 (No. 2)
Unique sites:
Cs 0.0000 0.0000 0.0000 x1  12 Hg 3.95-3.98, 4 Sn 4.41-4.42
Sn 0.5000 0.5000 0.0000 x1  8 Hg 3.13-3.16
Hg 0.1263 0.6268 0.2541 x2  6 Hg 3.10-3.33, 2 Sn 3.13-3.14
Hg 0.3177 0.0482 0.6365 x2  6 Hg 3.11-3.33, 1 Sn 3.16
Hg 0.3187 0.5892 0.6370 x2  6 Hg 3.10-3.33, 1 Sn 3.16

***

First-principles (PBE-GGA) data for a relaxed MgPIr2 crystal, as listed in Alexandria.

ΔH_f (0 K) ... -11 kJ per mole of atoms
Crystal system ... cubic
Electronic total energy ... -25.2 eV per formula unit

abc: 6.0865 6.0865 6.0865
angles: 90.00 90.00 90.00
Closest atoms and distances in Å follow each position.
Space group Fm-3m (No. 225)
Unique sites:
Mg 0.0000 0.0000 0.0000 x4  8 Ir 2.64
P 0.0000 0.0000 0.5000 x4  8 Ir 2.64
Ir 0.2500 0.2500 0.2500 x8  4 Mg 2.64, 4 P 2.64

***

First-principles (PBE-GGA) data for a relaxed Zr8ZnSn2 crystal, as listed in Alexandria.

ΔH_f (0 K) ... -24 kJ per mole of atoms
Crystal system ... monoclinic
Electronic total energy ... -80.4 eV per formula unit

abc: 15.7767 4.4283 7.3616
angles: 90.00 108.91 90.00
Closest atoms and distances in Å follow each position.
Space group C2/m (No. 12)
Unique sites:
Zr 0.0456 0.0000 0.2509 x4  8 Zr 3.04-3.38, 1 Sn 3.06, 2 Zn 3.10
Zr 0.0894 0.5000 0.9451 x4  3 Sn 3.07-3.31, 8 Zr 3.09-3.38, 1 Zn 3.12
Zr 0.1391 0.0000 0.6946 x4  7 Zr 3.07-3.23, 3 Sn 3.08-3.19, 2 Zn 3.12
Zr 0.1798 0.5000 0.4192 x4  8 Zr 3.04-3.31, 3 Sn 3.04-3.16, 1 Zn 3.08
Zn 0.0000 0.5000 0.5000 x2  12 Zr 3.08-3.12
Sn 0.2197 0.0000 0.1515 x4  10 Zr 3.04-3.31

***

First-principles (PBE-GGA) data for a relaxed U2Ga2Fe3 crystal, as listed in Alexandria.

ΔH_f (0 K) ... -28 kJ per mole of atoms
Crystal system ... monoclinic
Electronic total energy ... -56.0 eV per formula unit

abc: 11.5296 4.2943 4.7419
angles: 90.00 96.21 90.00
Closest atoms and distances in Å follow each position.
Space group C2/m (No. 12)
Unique sites:
U 0.1475 0.0000 0.3645 x4  2 Fe 2.12-2.29
Ga 0.0932 0.5000 0.8569 x4  5 Fe 2.53-2.69, 1 Ga 2.66
Fe 0.0000 0.0000 0.0000 x2  2 U 2.29, 4 Ga 2.53
Fe 0.2044 0.0000 0.8037 x4  1 U 2.12

***

First-principles (PBE-GGA) data for a relaxed TbY5Tm5 crystal, as listed in Alexandria.

ΔH_f (0 K) ... 15 kJ per mole of atoms
Crystal system ... triclinic
Polymorph energy (0 for the lowest one) ... 0 meV/atom
Electronic total energy ... -57.6 eV per formula unit

abc: 6.8266 6.8276 8.4804
angles: 75.34 75.31 70.52
Closest atoms and distances in Å follow each position.
Space group P-1 (No. 2)
Unique sites:
Tb 0.0000 0.0000 0.0000 x1  6 Y 3.41-3.55, 4 Tm 3.54-3.61
Y 0.1919 0.6839 0.3621 x2  7 Tm 3.37-3.51, 1 Y 3.40, 1 Tb 3.55
Y 0.3559 0.8528 0.6375 x2  2 Y 3.36-3.40, 7 Tm 3.48-3.71, 1 Tb 3.54
Y 0.5000 0.0000 0.0000 x1  6 Tm 3.19-3.41, 2 Tb 3.41
Tm 0.1476 0.2262 0.2784 x2  6 Y 3.20-3.52, 2 Tm 3.31-3.57
Tm 0.2696 0.3524 0.7247 x2  6 Y 3.19-3.52, 1 Tm 3.31, 1 Tb 3.54
Tm 0.5000 0.5000 0.0000 x1  6 Y 3.41-3.53, 4 Tm 3.57-3.61

***

First-principles (PBE-GGA) data for a relaxed SmHo8Sc2 crystal, as listed in Alexandria.

ΔH_f (0 K) ... 17 kJ per mole of atoms
Crystal system ... monoclinic
Polymorph energy (0 for the lowest one) ... 51 meV/atom
Electronic total energy ... -52.1 eV per formula unit

abc: 8.8767 16.1684 5.7897
angles: 90.00 125.67 90.00
Closest atoms and distances in Å follow each position.
Space group C2/m (No. 12)
Unique sites:
Sm 0.0000 0.0000 0.0000 x2  4 Ho 3.33-3.36
Ho 0.0000 0.2058 0.0000 x4  1 Sm 3.33, 4 Sc 3.36-3.63, 6 Ho 3.40-3.59
Ho 0.0579 0.5000 0.7879 x4  4 Ho 2.86-3.19
Ho 0.2228 0.1258 0.6911 x8  5 Ho 3.19-3.52, 2 Sc 3.39-3.40
Sc 0.0000 0.3113 0.5000 x4  10 Ho 3.36-3.63

***

| no. | size of the total moment (μB per atom) |
| --- | --- |
| 1 | 0.00 |
| 2 | 0.00 |
| 3 | 0.00 |
| 4 | 0.18 |
| 5 | 0.00 |
| 6 | 0.00 |
| 7 | 0.00 |
| 8 | 0.07 |
| 9 | 0.00 |
| 10 | 0.00 |
| 11 | 0.00 |
| 12 | 0.00 |